Compound: NiRh2Cl
Source: Alexandria via LeMat-Bulk
Functional: PBE-GGA
Structure: optimized geometry

## Properties
* energy relative to the elements, uncorrected: 0.670 eV per atom
* distance to the lowest polymorph of the same formula: 0.448 eV/atom

abc: 6.128 6.128 6.128
angles: 90.00 90.00 90.00
Space group F-43m (No. 216)
Inequivalent atoms, fractional coordinates:
Ni1 0.000 0.000 0.000
Rh1 0.000 0.000 0.500
Rh2 0.250 0.250 0.250
Cl1 0.250 0.250 0.750

Compound: SrScN3
Source: Alexandria via LeMat-Bulk
Functional: PBE-GGA
Structure: optimized geometry

## Properties
* energy relative to the elements, uncorrected: 1.555 eV per atom

abc: 4.262 4.262 4.262
angles: 90.00 90.00 90.00
Space group Pm-3m (No. 221)
Inequivalent atoms, fractional coordinates:
Sr1 0.000 0.000 0.000
Sc1 0.500 0.500 0.500
N1 0.000 0.000 0.500

Compound: Ni3HgS
Source: Alexandria via LeMat-Bulk
Functional: PBE-GGA
Structure: optimized geometry

## Properties
* energy relative to the elements, uncorrected: -0.001 eV per atom
* distance to the lowest polymorph of the same formula: 0.000 eV/atom

abc: 4.189 4.189 4.189
angles: 90.00 90.00 90.00
Space group Pm-3m (No. 221)
Inequivalent atoms, fractional coordinates:
Ni1 0.000 0.000 0.500
Hg1 0.500 0.500 0.500
S1 0.000 0.000 0.000

Compound: Pm2Pr6Y3
Source: Alexandria via LeMat-Bulk
Functional: PBE-GGA
Structure: optimized geometry

## Properties
* calculated formation energy: 0.28 eV/atom
* distance to the lowest polymorph of the same formula: 0.120 eV/atom

abc: 4.865 4.865 34.133
angles: 90.00 90.00 90.00
Space group I4/mmm (No. 139)
Inequivalent atoms, fractional coordinates:
Pm1 0.000 0.000 0.045
Pr1 0.000 0.000 0.196
Pr2 0.000 0.500 0.120
Y1 0.000 0.000 0.298
Y2 0.000 0.000 0.500

Compound: Ho4GeSe2N
Source: Alexandria via LeMat-Bulk
Functional: PBE-GGA
Structure: optimized geometry

## Properties
* energy relative to the elements, uncorrected: -1.461 eV per atom

abc: 6.782 3.889 6.963
angles: 90.00 108.85 90.00
Space group P2/m (No. 10)
Inequivalent atoms, fractional coordinates:
Ho1 0.219 0.000 0.210
Ho2 0.236 0.500 0.777
Ge1 0.500 0.000 0.000
Se1 0.000 0.000 0.500
Se2 0.500 0.500 0.500
N1 0.000 0.500 0.000

Compound: MgSe
Source: Alexandria via LeMat-Bulk
Functional: PBE-GGA
Structure: optimized geometry

## Properties
* energy relative to the elements, uncorrected: -0.843 eV per atom

abc: 5.641 5.641 5.105
angles: 90.00 90.00 90.00
Space group P4/mmm (No. 123)
Inequivalent atoms, fractional coordinates:
Mg1 0.000 0.000 0.000
Mg2 0.000 0.500 0.500
Se1 0.000 0.000 0.500
Se2 0.000 0.500 0.000

Compound: CuSb3I
Source: Alexandria via LeMat-Bulk
Functional: PBE-GGA
Structure: optimized geometry

## Properties
* energy relative to the elements, uncorrected: 0.476 eV per atom
* distance to the lowest polymorph of the same formula: 0.000 eV/atom

abc: 5.197 5.197 5.197
angles: 90.00 90.00 90.00
Space group Pm-3m (No. 221)
Inequivalent atoms, fractional coordinates:
Cu1 0.000 0.000 0.000
Sb1 0.000 0.000 0.500
I1 0.500 0.500 0.500

Compound: SmTl2F4
Source: Alexandria via LeMat-Bulk
Functional: PBE-GGA
Structure: optimized geometry

## Properties
* energy relative to the elements, uncorrected: -2.732 eV per atom

abc: 4.554 4.554 18.178
angles: 90.00 90.00 90.00
Space group I4/mmm (No. 139)
Inequivalent atoms, fractional coordinates:
Sm1 0.000 0.000 0.000
Tl1 0.000 0.000 0.254
F1 0.000 0.000 0.123
F2 0.000 0.500 0.000

Compound: LaPu2Se3
Source: Alexandria via LeMat-Bulk
Functional: PBE-GGA
Structure: optimized geometry

## Properties
* energy relative to the elements, uncorrected: -1.679 eV per atom

abc: 4.213 5.956 12.606
angles: 90.00 90.00 90.00
Space group Immm (No. 71)
Inequivalent atoms, fractional coordinates:
La1 0.000 0.000 0.000
Pu1 0.000 0.000 0.335
Se1 0.000 0.500 0.000
Se2 0.000 0.500 0.326

Compound: HgMo2Os
Source: Alexandria via LeMat-Bulk
Functional: PBE-GGA
Structure: optimized geometry

## Properties
* calculated formation energy: 0.87 eV/atom

abc: 7.414 7.414 5.447
angles: 90.00 90.00 90.00
Space group I-42d (No. 122)
Inequivalent atoms, fractional coordinates:
Hg1 0.000 0.000 0.000
Mo1 0.200 0.250 0.625
Os1 0.000 0.000 0.500

Compound: Ce3Ho2TmSb6
Source: Alexandria via LeMat-Bulk
Functional: PBE-GGA
Structure: optimized geometry

## Properties
* energy relative to the elements, uncorrected: -1.071 eV per atom

abc: 7.677 13.296 7.663
angles: 90.00 109.51 90.00
Space group C2/m (No. 12)
Inequivalent atoms, fractional coordinates:
Ce1 0.000 0.000 0.000
Ce2 0.000 0.333 0.000
Ho1 0.000 0.166 0.500
Tm1 0.000 0.500 0.500
Sb1 0.246 0.334 0.741
Sb2 0.249 0.000 0.742

Compound: MgCu2Au
Source: Alexandria via LeMat-Bulk
Functional: PBE-GGA
Structure: optimized geometry

## Properties
* calculated formation energy: -0.08 eV/atom

abc: 5.381 9.118 2.770
angles: 90.00 116.41 90.00
Space group C2/m (No. 12)
Inequivalent atoms, fractional coordinates:
Mg1 0.000 0.000 0.000
Cu1 0.250 0.250 0.500
Au1 0.000 0.500 0.000

Compound: CuW2Br
Source: Alexandria via LeMat-Bulk
Functional: PBE-GGA
Structure: optimized geometry

## Properties
* energy relative to the elements, uncorrected: 0.653 eV per atom
* distance to the lowest polymorph of the same formula: 0.126 eV/atom

abc: 3.296 3.296 6.553
angles: 90.00 90.00 90.00
Space group P4mm (No. 99)
Inequivalent atoms, fractional coordinates:
Cu1 0.000 0.000 0.000
W1 0.000 0.000 0.404
W2 0.500 0.500 0.212
Br1 0.500 0.500 0.774

Compound: Li2PdPt2O6
Source: Alexandria via LeMat-Bulk
Functional: PBE-GGA
Structure: optimized geometry

## Properties
* energy relative to the elements, uncorrected: -0.797 eV per atom

abc: 5.252 10.013 5.114
angles: 90.00 107.24 90.00
Space group C2/m (No. 12)
Inequivalent atoms, fractional coordinates:
Li1 0.000 0.174 0.000
Pd1 0.000 0.000 0.500
Pt1 0.000 0.338 0.500
O1 0.230 0.500 0.705
O2 0.231 0.192 0.725

Compound: HfGeRh
Source: Alexandria via LeMat-Bulk
Functional: PBE-GGA
Structure: optimized geometry

## Properties
* calculated formation energy: -0.71 eV/atom

abc: 6.113 6.113 6.113
angles: 90.00 90.00 90.00
Space group F-43m (No. 216)
Inequivalent atoms, fractional coordinates:
Hf1 0.000 0.000 0.000
Ge1 0.000 0.000 0.500
Rh1 0.250 0.250 0.250

Compound: BeOs
Source: Alexandria via LeMat-Bulk
Functional: PBE-GGA
Structure: optimized geometry

## Properties
* calculated formation energy: 0.01 eV/atom

abc: 2.743 6.993 4.758
angles: 90.00 90.00 90.00
Space group Imm2 (No. 44)
Inequivalent atoms, fractional coordinates:
Be1 0.000 0.000 0.000
Be2 0.000 0.500 0.114
Os1 0.000 0.278 0.730

Compound: YCd2Br
Source: Alexandria via LeMat-Bulk
Functional: PBE-GGA
Structure: optimized geometry

## Properties
* energy relative to the elements, uncorrected: -0.454 eV per atom
* distance to the lowest polymorph of the same formula: 0.075 eV/atom

abc: 13.536 3.426 4.930
angles: 90.00 111.21 90.00
Space group C2/m (No. 12)
Inequivalent atoms, fractional coordinates:
Y1 0.000 0.000 0.000
Cd1 0.223 0.500 0.223
Br1 0.000 0.500 0.500

Compound: Re3NiAu
Source: Alexandria via LeMat-Bulk
Functional: PBE-GGA
Structure: optimized geometry

## Properties
* calculated formation energy: 3.25 eV/atom
* distance to the lowest polymorph of the same formula: 1.515 eV/atom

abc: 4.779 4.779 4.779
angles: 90.00 90.00 90.00
Space group Pm-3m (No. 221)
Inequivalent atoms, fractional coordinates:
Re1 0.000 0.000 0.500
Ni1 0.500 0.500 0.500
Au1 0.000 0.000 0.000

Compound: AsRh2W
Source: Alexandria via LeMat-Bulk
Functional: PBE-GGA
Structure: optimized geometry

## Properties
* calculated formation energy: 0.05 eV/atom

abc: 2.906 4.505 4.564
angles: 90.00 90.00 90.00
Space group Pmmm (No. 47)
Inequivalent atoms, fractional coordinates:
As1 0.000 0.000 0.000
Rh1 0.000 0.500 0.500
Rh2 0.500 0.500 0.000
W1 0.500 0.000 0.500

Compound: CsSrTlF4
Source: Alexandria via LeMat-Bulk
Functional: PBE-GGA
Structure: optimized geometry

## Properties
* energy relative to the elements, uncorrected: -2.902 eV per atom

abc: 4.785 4.785 14.651
angles: 90.00 90.00 90.00
Space group I4mm (No. 107)
Inequivalent atoms, fractional coordinates:
Cs1 0.000 0.000 0.000
Sr1 0.000 0.000 0.354
Tl1 0.000 0.000 0.696
F1 0.000 0.000 0.191
F2 0.000 0.000 0.527
F3 0.000 0.500 0.361

Compound: PuMgBeH6
Source: Alexandria via LeMat-Bulk
Functional: PBE-GGA
Structure: optimized geometry

## Properties
* DFT total energy: -40.5 eV per cell

abc: 4.4019 4.4019 4.4000
angles: 90.00 90.00 120.00
Space group P-6m2 (No. 187)
Inequivalent atoms, fractional coordinates:
Pu1 0.0000 0.0000 0.0000
Mg1 0.3333 0.6667 0.5000
Be1 0.6667 0.3333 0.5000
H1 0.5169 0.0339 0.2257

Compound: TePSCl2
Source: Alexandria via LeMat-Bulk
Functional: PBE-GGA
Structure: optimized geometry

## Properties
* energy relative to the elements, uncorrected: 0.613 eV per atom
* distance to the lowest polymorph of the same formula: 0.320 eV/atom

abc: 5.293 5.293 5.167
angles: 90.00 90.00 90.00
Space group P4/mmm (No. 123)
Inequivalent atoms, fractional coordinates:
Te1 0.000 0.000 0.000
P1 0.500 0.500 0.500
S1 0.000 0.000 0.500
Cl1 0.000 0.500 0.000

Compound: CaLa2Pm3Sm6
Source: Alexandria via LeMat-Bulk
Functional: PBE-GGA
Structure: optimized geometry

## Properties
* calculated formation energy: 0.04 eV/atom

abc: 6.362 11.025 12.165
angles: 90.00 100.11 90.00
Space group C2/m (No. 12)
Inequivalent atoms, fractional coordinates:
Ca1 0.000 0.000 0.000
La1 0.000 0.333 0.000
Pm1 0.000 0.166 0.500
Pm2 0.000 0.500 0.500
Sm1 0.246 0.331 0.745
Sm2 0.248 0.500 0.255

Compound: PaTlN
Source: Alexandria via LeMat-Bulk
Functional: PBE-GGA
Structure: optimized geometry

## Properties
* energy relative to the elements, uncorrected: -0.584 eV per atom
* distance to the lowest polymorph of the same formula: 0.149 eV/atom

abc: 3.318 3.318 12.336
angles: 90.00 90.00 90.00
Space group I4mm (No. 107)
Inequivalent atoms, fractional coordinates:
Pa1 0.000 0.000 0.000
Tl1 0.000 0.000 0.272
N1 0.000 0.000 0.507

Compound: RbCd2F5
Source: Alexandria via LeMat-Bulk
Functional: PBE-GGA
Structure: optimized geometry

## Properties
* energy relative to the elements, uncorrected: -2.329 eV per atom

abc: 3.606 5.830 12.193
angles: 90.00 90.00 90.00
Space group Immm (No. 71)
Inequivalent atoms, fractional coordinates:
Rb1 0.000 0.000 0.000
Cd1 0.000 0.500 0.183
F1 0.000 0.255 0.337
F2 0.000 0.500 0.000

Compound: TiTlAgTe3
Source: Alexandria via LeMat-Bulk
Functional: PBE-GGA
Structure: optimized geometry

## Properties
* energy relative to the elements, uncorrected: -0.446 eV per atom

abc: 8.638 4.060 10.562
angles: 90.00 110.57 90.00
Space group P2_1/m (No. 11)
Inequivalent atoms, fractional coordinates:
Ti1 0.204 0.250 0.172
Tl1 0.239 0.750 0.722
Ag1 0.430 0.750 0.395
Te1 0.044 0.250 0.881
Te2 0.219 0.250 0.434
Te3 0.408 0.750 0.128

Quick rundown of D(E_F), same order as above: 1.2480 0.7582 0.4635 1.4054 0.2318 0.2162 1.0516 0.2466 3.3481 0.4198 1.6520 0.3061 0.3785 0.3708 1.7979 0.9117 0.5381 1.8771 0.9362 0.0000 0.6430 0.7290 1.5308 1.2137 0.0000 0.0853 states/eV/atom
Quick rundown of mass density, same order as above: 8.66 3.74 9.24 5.76 8.64 3.17 6.57 5.59 9.07 12.93 7.43 9.50 11.92 7.84 10.30 14.50 6.13 12.39 12.91 4.96 6.37 3.00 6.54 10.99 5.25 7.11 g/cm³
Quick rundown of total moment, same order as above: 0.02 0.38 0.00 0.00 0.00 0.00 0.00 0.00 11.62 0.00 2.42 0.00 0.00 0.00 0.00 0.00 0.00 0.00 0.00 0.00 5.51 2.48 0.00 0.31 0.09 0.00 μB per formula unit